1.
# Mg2ScTlNi

A relaxed Mg2ScTlNi crystal (PBE, Alexandria via LeMat-Bulk).

Results
* excess energy over the best structure of this formula in the dataset: 791.8 meV per atom
* DOS(E_F): 0.92 states/eV/atom
* ΔH_f (0 K): 722 meV per atom
* volume: 146.4 Å³ per cell
* spin magnetization: 0.00 μB per cell

Lattice parameters (Å, degrees): 5.7605 5.7605 4.4124 90.00 90.00 90.00
Fractional positions:
Mg1 0.0000 0.5000 0.0000
Mg2 0.5000 0.0000 0.0000
Sc1 0.0000 0.0000 0.0000
Tl1 0.5000 0.5000 0.5000
Ni1 0.0000 0.0000 0.5000



2.
# TmMgScNi

A relaxed TmMgScNi crystal (PBE, Alexandria via LeMat-Bulk).

Results
* excess energy over the best structure of this formula in the dataset: 144.9 meV per atom
* DOS(E_F): 0.86 states/eV/atom
* ΔH_f (0 K): -131 meV per atom
* volume: 81.5 Å³ per cell
* spin magnetization: 0.00 μB per cell

Lattice parameters (Å, degrees): 4.8665 4.8665 4.8665 60.00 60.00 60.00
Fractional positions:
Tm1 0.0000 0.0000 0.0000
Mg1 0.2500 0.2500 0.2500
Sc1 0.5000 0.5000 0.5000
Ni1 0.7500 0.7500 0.7500



3.
# TmMgScNi

A relaxed TmMgScNi crystal (PBE, Alexandria via LeMat-Bulk).

Results
* excess energy over the best structure of this formula in the dataset: 0.0 meV per atom
* DOS(E_F): 0.74 states/eV/atom
* ΔH_f (0 K): -276 meV per atom
* volume: 84.3 Å³ per cell
* spin magnetization: 0.00 μB per cell

Lattice parameters (Å, degrees): 3.3184 3.3184 7.6516 90.00 90.00 90.00
Fractional positions:
Tm1 0.0000 0.0000 0.0000
Mg1 0.5000 0.5000 0.3122
Sc1 0.0000 0.0000 0.5975
Ni1 0.5000 0.5000 0.7803



4.
# YMgScNi2

A relaxed YMgScNi2 crystal (PBE, Alexandria via LeMat-Bulk).

Results
* DOS(E_F): 0.89 states/eV/atom
* ΔH_f (0 K): 878 meV per atom
* volume: 117.9 Å³ per cell
* spin magnetization: 0.00 μB per cell

Lattice parameters (Å, degrees): 4.7058 4.7058 5.3257 90.00 90.00 90.00
Fractional positions:
Y1 0.0000 0.0000 0.0000
Mg1 0.0000 0.0000 0.5000
Sc1 0.5000 0.5000 0.5000
Ni1 0.0000 0.5000 0.0000
Ni2 0.5000 0.0000 0.0000



5.
# YMgScNi

A relaxed YMgScNi crystal (PBE, Alexandria via LeMat-Bulk).

Results
* DOS(E_F): 0.89 states/eV/atom
* ΔH_f (0 K): -119 meV per atom
* volume: 83.8 Å³ per cell
* spin magnetization: 0.00 μB per cell

Lattice parameters (Å, degrees): 4.9116 4.9116 4.9116 60.00 60.00 60.00
Fractional positions:
Y1 0.0000 0.0000 0.0000
Mg1 0.2500 0.2500 0.2500
Sc1 0.5000 0.5000 0.5000
Ni1 0.7500 0.7500 0.7500



6.
# Y2MgScNi

A relaxed Y2MgScNi crystal (PBE, Alexandria via LeMat-Bulk).

Results
* DOS(E_F): 1.83 states/eV/atom
* ΔH_f (0 K): -45 meV per atom
* volume: 137.7 Å³ per cell
* spin magnetization: 0.00 μB per cell

Lattice parameters (Å, degrees): 5.3566 5.3566 4.7995 90.00 90.00 90.00
Fractional positions:
Y1 0.0000 0.5000 0.0000
Y2 0.5000 0.0000 0.0000
Mg1 0.0000 0.0000 0.5000
Sc1 0.5000 0.5000 0.5000
Ni1 0.5000 0.5000 0.0000



7.
# YMgSc2Ni

A relaxed YMgSc2Ni crystal (PBE, Alexandria via LeMat-Bulk).

Results
* DOS(E_F): 1.38 states/eV/atom
* ΔH_f (0 K): -46 meV per atom
* volume: 120.1 Å³ per cell
* spin magnetization: 0.00 μB per cell

Lattice parameters (Å, degrees): 4.9087 4.9087 4.9844 90.00 90.00 90.00
Fractional positions:
Y1 0.0000 0.0000 0.0000
Mg1 0.5000 0.5000 0.0000
Sc1 0.0000 0.5000 0.5000
Sc2 0.5000 0.0000 0.5000
Ni1 0.5000 0.5000 0.5000



8.
# MgSc2Zn2Ni5

A relaxed MgSc2Zn2Ni5 crystal (PBE, Alexandria via LeMat-Bulk).

Results
* DOS(E_F): 0.55 states/eV/atom
* ΔH_f (0 K): -268 meV per atom
* volume: 290.1 Å³ per cell
* spin magnetization: 0.00 μB per cell

Lattice parameters (Å, degrees): 8.9567 8.9567 3.6163 90.00 90.00 90.00
Fractional positions:
Mg1 0.0000 0.0000 0.0000
Mg2 0.5000 0.5000 0.0000
Sc1 0.1769 0.3231 0.0000
Sc2 0.3231 0.8231 0.0000
Sc3 0.6769 0.1769 0.0000
Sc4 0.8231 0.6769 0.0000
Zn1 0.1195 0.6195 0.0000
Zn2 0.3805 0.1195 0.0000
Zn3 0.6195 0.8805 0.0000
Zn4 0.8805 0.3805 0.0000
Ni1 0.0000 0.5000 0.5000
Ni2 0.0672 0.7915 0.5000
Ni3 0.2085 0.0672 0.5000
Ni4 0.2915 0.5672 0.5000
Ni5 0.4328 0.2915 0.5000
Ni6 0.5000 0.0000 0.5000
Ni7 0.5672 0.7085 0.5000
Ni8 0.7085 0.4328 0.5000
Ni9 0.7915 0.9328 0.5000
Ni10 0.9328 0.2085 0.5000